## i
# Pm6PrSc2

A geometry-optimized Pm6PrSc2 structure (PBE, Alexandria via LeMat-Bulk).

Structure (POSCAR):
```
Pm6PrSc2
1.0
5.305 -5.091 0.000
5.305 5.091 0.000
-5.080 0.000 10.819
Pm Pr Sc
12 2 4
Direct
0.101 0.876 0.604
0.124 0.899 0.896
0.195 0.478 0.933
0.287 0.377 0.651
0.377 0.287 0.151
0.478 0.195 0.433
0.522 0.805 0.567
0.623 0.713 0.849
0.713 0.623 0.349
0.805 0.522 0.067
0.876 0.101 0.104
0.899 0.124 0.396
0.204 0.796 0.250
0.796 0.204 0.750
0.136 0.470 0.367
0.470 0.136 0.867
0.530 0.864 0.133
0.864 0.530 0.633
```

The crystal system is monoclinic. As for the space-group type: No. 15. For the total magnetic moment, the calculation gives 0.0 μB/f.u.

***

## ii
# Pm6PrSc2

A geometry-optimized Pm6PrSc2 structure (PBE, Alexandria via LeMat-Bulk).

Structure (POSCAR):
```
Pm6PrSc2
1.0
8.056 0.000 0.000
0.000 8.056 0.000
0.000 0.000 10.399
Pm Pr Sc
12 2 4
Direct
0.231 0.231 0.000
0.243 0.243 0.330
0.243 0.243 0.670
0.257 0.743 0.170
0.257 0.743 0.830
0.269 0.731 0.500
0.731 0.269 0.500
0.743 0.257 0.170
0.743 0.257 0.830
0.757 0.757 0.330
0.757 0.757 0.670
0.769 0.769 0.000
0.000 0.000 0.500
0.500 0.500 0.000
0.000 0.000 0.163
0.000 0.000 0.837
0.500 0.500 0.337
0.500 0.500 0.663
```

The crystal system is tetragonal. As for the space-group type: No. 136. For the total magnetic moment, the calculation gives 0.0 μB/f.u.

***

Q: Which of them is the least stable? A: ii.

***

## i
# Pm4Pr5Sc2

A geometry-optimized Pm4Pr5Sc2 structure (PBE, Alexandria via LeMat-Bulk).

Structure (POSCAR):
```
Pm4Pr5Sc2
1.0
-1.751 4.820 11.321
1.751 -4.820 11.321
1.751 4.820 -11.321
Pm Pr Sc
4 5 2
Direct
0.098 0.098 0.000
0.201 0.500 0.701
0.799 0.500 0.299
0.902 0.902 0.000
0.129 0.342 0.787
0.444 0.658 0.787
0.500 0.000 0.500
0.556 0.342 0.213
0.871 0.658 0.213
0.231 0.231 0.000
0.769 0.769 0.000
```

The crystal system is orthorhombic. As for the space-group type: No. 71. For the total magnetic moment, the calculation gives 0.0 μB/f.u.

***

## ii
# Pm4Pr5Sc2

A geometry-optimized Pm4Pr5Sc2 structure (PBE, Alexandria via LeMat-Bulk).

Structure (POSCAR):
```
Pm4Pr5Sc2
1.0
12.043 -1.776 0.000
12.043 1.776 0.000
-0.680 0.000 8.710
Pm Pr Sc
4 5 2
Direct
0.038 0.038 0.350
0.274 0.274 0.176
0.726 0.726 0.824
0.962 0.962 0.650
0.130 0.130 0.039
0.180 0.180 0.478
0.500 0.500 0.000
0.820 0.820 0.522
0.870 0.870 0.961
0.413 0.413 0.305
0.587 0.587 0.695
```

The crystal system is monoclinic. As for the space-group type: No. 12. For the total magnetic moment, the calculation gives 0.0 μB/f.u.

***

Q: Which of them is the least stable? A: i.

***

## i
# Pm3Pr3Sc

A geometry-optimized Pm3Pr3Sc structure (PBE, Alexandria via LeMat-Bulk).

Structure (POSCAR):
```
Pm3Pr3Sc
1.0
4.359 2.516 7.390
-4.359 2.516 7.390
0.000 -5.033 7.390
Pm Pr Sc
6 6 2
Direct
0.063 0.568 0.223
0.223 0.063 0.568
0.432 0.777 0.937
0.568 0.223 0.063
0.777 0.937 0.432
0.937 0.432 0.777
0.201 0.695 0.433
0.305 0.567 0.799
0.433 0.201 0.695
0.567 0.799 0.305
0.695 0.433 0.201
0.799 0.305 0.567
0.158 0.158 0.158
0.842 0.842 0.842
```

The crystal system is trigonal. As for the space-group type: No. 148. For the total magnetic moment, the calculation gives 0.0 μB/f.u.

***

## ii
# Pm3Pr3Sc

A geometry-optimized Pm3Pr3Sc structure (PBE, Alexandria via LeMat-Bulk).

Structure (POSCAR):
```
Pm3Pr3Sc
1.0
9.701 0.000 0.000
-4.850 8.401 0.000
0.000 0.000 5.832
Pm Pr Sc
6 6 2
Direct
0.097 0.482 0.250
0.385 0.903 0.250
0.482 0.385 0.750
0.518 0.615 0.250
0.615 0.097 0.750
0.903 0.518 0.750
0.053 0.246 0.750
0.193 0.947 0.750
0.246 0.193 0.250
0.754 0.807 0.750
0.807 0.053 0.250
0.947 0.754 0.250
0.333 0.667 0.750
0.667 0.333 0.250
```

The crystal system is hexagonal. As for the space-group type: No. 176. For the total magnetic moment, the calculation gives 0.0 μB/f.u.

***

Q: Which of them is the least stable? A: i.

***

## i
# Pm12Pr7Sc

A geometry-optimized Pm12Pr7Sc structure (PBE, Alexandria via LeMat-Bulk).

Structure (POSCAR):
```
Pm12Pr7Sc
1.0
-5.802 5.802 5.802
5.802 -5.802 5.802
5.802 5.802 -5.802
Pm Pr Sc
12 7 1
Direct
0.000 0.243 0.757
0.000 0.757 0.243
0.243 0.000 0.757
0.243 0.243 0.486
0.243 0.486 0.243
0.243 0.757 0.000
0.486 0.243 0.243
0.514 0.757 0.757
0.757 0.000 0.243
0.757 0.243 0.000
0.757 0.514 0.757
0.757 0.757 0.514
0.000 0.000 0.500
0.000 0.500 0.000
0.000 0.500 0.500
0.500 0.000 0.000
0.500 0.000 0.500
0.500 0.500 0.000
0.500 0.500 0.500
0.000 0.000 0.000
```

The crystal system is cubic. As for the space-group type: No. 229. For the total magnetic moment, the calculation gives 0.0 μB/f.u.

***

## ii
# Pm12Pr7Sc

A geometry-optimized Pm12Pr7Sc structure (PBE, Alexandria via LeMat-Bulk).

Structure (POSCAR):
```
Pm12Pr7Sc
1.0
6.423 3.708 4.914
-6.423 3.708 4.914
0.000 -7.417 4.914
Pm Pr Sc
12 7 1
Direct
0.047 0.340 0.946
0.054 0.953 0.660
0.211 0.758 0.358
0.242 0.642 0.789
0.340 0.946 0.047
0.358 0.211 0.758
0.642 0.789 0.242
0.660 0.054 0.953
0.758 0.358 0.211
0.789 0.242 0.642
0.946 0.047 0.340
0.953 0.660 0.054
0.000 0.000 0.000
0.134 0.383 0.449
0.383 0.449 0.134
0.449 0.134 0.383
0.551 0.866 0.617
0.617 0.551 0.866
0.866 0.617 0.551
0.500 0.500 0.500
```

The crystal system is trigonal. As for the space-group type: No. 148. For the total magnetic moment, the calculation gives 0.0 μB/f.u.

***

Q: Which of them is the least stable? A: i.

***

## i
# Pm7Pr12Sc

A geometry-optimized Pm7Pr12Sc structure (PBE, Alexandria via LeMat-Bulk).

Structure (POSCAR):
```
Pm7Pr12Sc
1.0
9.544 5.510 2.301
-9.544 5.510 2.301
0.000 -11.021 2.301
Pm Pr Sc
7 12 1
Direct
0.000 0.000 0.000
0.140 0.437 0.299
0.299 0.140 0.437
0.437 0.299 0.140
0.563 0.701 0.860
0.701 0.860 0.563
0.860 0.563 0.701
0.013 0.799 0.589
0.201 0.411 0.987
0.226 0.750 0.299
0.250 0.701 0.774
0.299 0.226 0.750
0.411 0.987 0.201
0.589 0.013 0.799
0.701 0.774 0.250
0.750 0.299 0.226
0.774 0.250 0.701
0.799 0.589 0.013
0.987 0.201 0.411
0.500 0.500 0.500
```

The crystal system is trigonal. As for the space-group type: No. 148. For the total magnetic moment, the calculation gives 0.0 μB/f.u.

***

## ii
# Pm7Pr12Sc

A geometry-optimized Pm7Pr12Sc structure (PBE, Alexandria via LeMat-Bulk).

Structure (POSCAR):
```
Pm7Pr12Sc
1.0
7.694 4.442 3.406
-7.694 4.442 3.406
0.000 -8.884 3.406
Pm Pr Sc
7 12 1
Direct
0.000 0.000 0.000
0.176 0.621 0.501
0.379 0.499 0.824
0.499 0.824 0.379
0.501 0.176 0.621
0.621 0.501 0.176
0.824 0.379 0.499
0.071 0.804 0.279
0.131 0.212 0.444
0.196 0.721 0.929
0.212 0.444 0.131
0.279 0.071 0.804
0.444 0.131 0.212
0.556 0.869 0.788
0.721 0.929 0.196
0.788 0.556 0.869
0.804 0.279 0.071
0.869 0.788 0.556
0.929 0.196 0.721
0.500 0.500 0.500
```

The crystal system is trigonal. As for the space-group type: No. 148. For the total magnetic moment, the calculation gives 0.0 μB/f.u.

***

Q: Which of them is the least stable? A: i.

***

## i
# Pm5Pr4Sc2

A geometry-optimized Pm5Pr4Sc2 structure (PBE, Alexandria via LeMat-Bulk).

Structure (POSCAR):
```
Pm5Pr4Sc2
1.0
12.012 -1.774 0.000
12.012 1.774 0.000
-0.680 0.000 8.705
Pm Pr Sc
5 4 2
Direct
0.000 0.000 0.000
0.319 0.319 0.523
0.371 0.371 0.962
0.629 0.629 0.038
0.681 0.681 0.477
0.226 0.226 0.823
0.461 0.461 0.651
0.539 0.539 0.349
0.774 0.774 0.177
0.087 0.087 0.698
0.913 0.913 0.302
```

The crystal system is monoclinic. As for the space-group type: No. 12. For the total magnetic moment, the calculation gives 0.0 μB/f.u.

***

## ii
# Pm5Pr4Sc2

A geometry-optimized Pm5Pr4Sc2 structure (PBE, Alexandria via LeMat-Bulk).

Structure (POSCAR):
```
Pm5Pr4Sc2
1.0
-1.748 4.848 11.202
1.748 -4.848 11.202
1.748 4.848 -11.202
Pm Pr Sc
5 4 2
Direct
0.000 0.000 0.000
0.055 0.341 0.714
0.374 0.659 0.714
0.626 0.341 0.286
0.945 0.659 0.286
0.292 0.500 0.792
0.402 0.902 0.500
0.598 0.098 0.500
0.708 0.500 0.208
0.269 0.769 0.500
0.731 0.231 0.500
```

The crystal system is orthorhombic. As for the space-group type: No. 71. For the total magnetic moment, the calculation gives 0.0 μB/f.u.

***

Q: Which of them is the least stable? A: ii.

***

## i
# Pm2Pr3Sc

A geometry-optimized Pm2Pr3Sc structure (PBE, Alexandria via LeMat-Bulk).

Structure (POSCAR):
```
Pm2Pr3Sc
1.0
8.485 0.000 0.000
0.000 3.722 0.000
-0.019 0.000 12.902
Pm Pr Sc
4 6 2
Direct
0.080 0.250 0.390
0.346 0.750 0.942
0.654 0.250 0.058
0.920 0.750 0.610
0.081 0.250 0.111
0.343 0.750 0.561
0.398 0.750 0.249
0.602 0.250 0.751
0.657 0.250 0.439
0.919 0.750 0.889
0.189 0.250 0.751
0.811 0.750 0.249
```

The crystal system is monoclinic. As for the space-group type: No. 11. For the total magnetic moment, the calculation gives 0.0 μB/f.u.

***

## ii
# Pm2Pr3Sc

A geometry-optimized Pm2Pr3Sc structure (PBE, Alexandria via LeMat-Bulk).

Structure (POSCAR):
```
Pm2Pr3Sc
1.0
6.256 0.000 0.000
-2.070 7.820 0.000
-0.009 -3.355 8.210
Pm Pr Sc
4 6 2
Direct
0.050 0.385 0.298
0.295 0.620 0.039
0.705 0.380 0.961
0.950 0.615 0.702
0.127 0.127 0.873
0.207 0.874 0.457
0.461 0.139 0.217
0.539 0.861 0.783
0.793 0.126 0.543
0.873 0.873 0.127
0.377 0.378 0.623
0.623 0.622 0.377
```

The crystal system is triclinic. As for the space-group type: No. 2. For the total magnetic moment, the calculation gives 0.0 μB/f.u.

***

Q: Which of them is the least stable? A: i.

***

## i
# TbPmPrSc

A geometry-optimized TbPmPrSc structure (PBE, Alexandria via LeMat-Bulk).

Structure (POSCAR):
```
TbPmPrSc
1.0
7.977 0.000 0.000
0.000 7.977 0.000
0.000 0.000 7.977
Tb Pm Pr Sc
4 4 4 4
Direct
0.000 0.000 0.000
0.000 0.500 0.500
0.500 0.000 0.500
0.500 0.500 0.000
0.250 0.250 0.250
0.250 0.750 0.750
0.750 0.250 0.750
0.750 0.750 0.250
0.250 0.250 0.750
0.250 0.750 0.250
0.750 0.250 0.250
0.750 0.750 0.750
0.000 0.000 0.500
0.000 0.500 0.000
0.500 0.000 0.000
0.500 0.500 0.500
```

The crystal system is cubic. As for the space-group type: No. 216. For the total magnetic moment, the calculation gives 0.0 μB/f.u.

***

## ii
# TbPmPrSc

A geometry-optimized TbPmPrSc structure (PBE, Alexandria via LeMat-Bulk).

Structure (POSCAR):
```
TbPmPrSc
1.0
12.304 0.000 0.000
0.000 5.737 0.000
-1.158 0.000 3.614
Tb Pm Pr Sc
2 2 2 2
Direct
0.000 0.000 0.000
0.500 0.500 0.000
0.233 0.500 0.260
0.733 0.000 0.260
0.458 0.000 0.454
0.958 0.500 0.454
0.227 0.000 0.736
0.727 0.500 0.736
```

The crystal system is monoclinic. As for the space-group type: No. 8. For the total magnetic moment, the calculation gives 0.0 μB/f.u.

***

Q: Which of them is the least stable? A: i.

***

## i
# PmPrThSc

A geometry-optimized PmPrThSc structure (PBE, Alexandria via LeMat-Bulk).

Structure (POSCAR):
```
PmPrThSc
1.0
3.598 0.000 0.000
0.000 3.598 0.000
0.000 0.000 9.796
Pm Pr Th Sc
1 1 1 1
Direct
0.000 0.000 0.000
0.500 0.500 0.279
0.500 0.500 0.749
0.000 0.000 0.523
```

The crystal system is tetragonal. As for the space-group type: No. 99. For the total magnetic moment, the calculation gives 0.0 μB/f.u.

***

## ii
# PmPrThSc

A geometry-optimized PmPrThSc structure (PBE, Alexandria via LeMat-Bulk).

Structure (POSCAR):
```
PmPrThSc
1.0
7.968 0.000 0.000
0.000 7.968 0.000
0.000 0.000 7.968
Pm Pr Th Sc
4 4 4 4
Direct
0.000 0.000 0.000
0.000 0.500 0.500
0.500 0.000 0.500
0.500 0.500 0.000
0.250 0.250 0.250
0.250 0.750 0.750
0.750 0.250 0.750
0.750 0.750 0.250
0.250 0.250 0.750
0.250 0.750 0.250
0.750 0.250 0.250
0.750 0.750 0.750
0.000 0.000 0.500
0.000 0.500 0.000
0.500 0.000 0.000
0.500 0.500 0.500
```

The crystal system is cubic. As for the space-group type: No. 216. For the total magnetic moment, the calculation gives 0.0 μB/f.u.

***

Q: Which of them is the least stable? A: ii.

***

## i
# PmPrScTl

A geometry-optimized PmPrScTl structure (PBE, Alexandria via LeMat-Bulk).

Structure (POSCAR):
```
PmPrScTl
1.0
4.810 0.000 0.000
0.000 4.810 0.000
0.000 0.000 9.862
Pm Pr Sc Tl
2 2 2 2
Direct
0.250 0.250 0.241
0.750 0.750 0.759
0.250 0.750 0.500
0.750 0.250 0.500
0.250 0.750 0.000
0.750 0.250 0.000
0.250 0.250 0.780
0.750 0.750 0.220
```

The crystal system is tetragonal. As for the space-group type: No. 129. For the total magnetic moment, the calculation gives 0.9 μB/f.u.

***

## ii
# PmPrScTl

A geometry-optimized PmPrScTl structure (PBE, Alexandria via LeMat-Bulk).

Structure (POSCAR):
```
PmPrScTl
1.0
7.716 0.000 0.000
0.000 7.716 0.000
0.000 0.000 7.716
Pm Pr Sc Tl
4 4 4 4
Direct
0.000 0.000 0.000
0.000 0.500 0.500
0.500 0.000 0.500
0.500 0.500 0.000
0.250 0.250 0.250
0.250 0.750 0.750
0.750 0.250 0.750
0.750 0.750 0.250
0.250 0.250 0.750
0.250 0.750 0.250
0.750 0.250 0.250
0.750 0.750 0.750
0.000 0.000 0.500
0.000 0.500 0.000
0.500 0.000 0.000
0.500 0.500 0.500
```

The crystal system is cubic. As for the space-group type: No. 216. For the total magnetic moment, the calculation gives 1.4 μB/f.u.

***

Q: Which of them is the least stable? A: ii.